Below is a relaxed LiGeN2F crystal, with properties calculated at the GGA-PBE level.

Properties
- formation energy (no corrections) (eV/atom) = -0.028
- distance to the lowest polymorph of the same formula (meV per atom) = 0
- uncorrected energy (eV per cell) = -25.19

a = 3.6902 Å, b = 3.6902 Å, c = 4.2589 Å
α = 90.00°, β = 90.00°, γ = 90.00°
With the nearest neighbours (Å) after each atom.
Element x y z (fractional)
Ge (0.0000, 0.0000, 0.0000)  4 N 1.85
N (0.0000, 0.5000, 0.0000)  2 Ge 1.85
N (0.5000, 0.0000, 0.0000)  2 Ge 1.85
Li (0.5000, 0.5000, 0.5000)  4 F 2.61, 8 N 2.82
F (0.0000, 0.0000, 0.5000)  2 Ge 2.13